## Cs3TmI6 (PBE)

Data for Cs3TmI6 after structural relaxation.

Summary:
calculated density	4.0	g/cm³
total magnetization	0.0	μB/f.u.
energy	-3.1367	eV/atom

Structure (CIF):
```
data_Cs3TmI6
_chemical_formula_sum 'Cs6 Tm2 I12'
_cell_length_a 9.003
_cell_length_b 9.541
_cell_length_c 15.606
_cell_angle_alpha 90.00
_cell_angle_beta 124.59
_cell_angle_gamma 90.00
_symmetry_space_group_name_H-M 'P 1 21/c 1'
_symmetry_Int_Tables_number 14
_symmetry_space_group_name_Hall '-P 2ybc'
loop_
_atom_site_label
_atom_site_fract_x
_atom_site_fract_y
_atom_site_fract_z
Cs1 0.000 0.000 0.000
Cs2 0.218 0.076 0.748
Tm1 0.500 0.000 0.500
I1 0.178 0.172 0.449
I2 0.273 0.736 0.433
I3 0.398 0.042 0.282
```

=====

## Cs2TmI5 (PBE)

Data for Cs2TmI5 after structural relaxation.

Summary:
calculated density	4.4	g/cm³
total magnetization	0.0	μB/f.u.
energy	-3.2266	eV/atom

Structure (CIF):
```
data_Cs2TmI5
_chemical_formula_sum 'Cs8 Tm4 I20'
_cell_length_a 10.936
_cell_length_b 8.466
_cell_length_c 17.368
_cell_angle_alpha 90.00
_cell_angle_beta 90.00
_cell_angle_gamma 90.00
_symmetry_space_group_name_H-M 'P n m a'
_symmetry_Int_Tables_number 62
_symmetry_space_group_name_Hall '-P 2ac 2n'
loop_
_atom_site_label
_atom_site_fract_x
_atom_site_fract_y
_atom_site_fract_z
Cs1 0.044 0.250 0.199
Cs2 0.180 0.750 0.413
Tm1 0.187 0.750 0.060
I1 0.000 0.000 0.000
I2 0.036 0.750 0.203
I3 0.152 0.504 0.611
I4 0.217 0.250 0.398
```

=====

## CsTmI3 (PBE)

Data for CsTmI3 after structural relaxation.

Summary:
calculated density	5.2	g/cm³
total magnetization	0.0	μB/f.u.
energy	-3.1933	eV/atom

Structure (CIF):
```
data_CsTmI3
_chemical_formula_sum 'Cs1 Tm1 I3'
_cell_length_a 6.017
_cell_length_b 6.017
_cell_length_c 6.017
_cell_angle_alpha 90.00
_cell_angle_beta 90.00
_cell_angle_gamma 90.00
_symmetry_space_group_name_H-M 'P m -3 m'
_symmetry_Int_Tables_number 221
_symmetry_space_group_name_Hall '-P 4 2 3'
loop_
_atom_site_label
_atom_site_fract_x
_atom_site_fract_y
_atom_site_fract_z
Cs1 0.000 0.000 0.000
Tm1 0.500 0.500 0.500
I1 0.000 0.500 0.500
```

=====

## Cs4TmI7 (PBE)

Data for Cs4TmI7 after structural relaxation.

Summary:
calculated density	3.8	g/cm³
total magnetization	0.0	μB/f.u.
energy	-2.8502	eV/atom

Structure (CIF):
```
data_Cs4TmI7
_chemical_formula_sum 'Cs8 Tm2 I14'
_cell_length_a 20.090
_cell_length_b 5.940
_cell_length_c 15.005
_cell_angle_alpha 90.00
_cell_angle_beta 128.30
_cell_angle_gamma 90.00
_symmetry_space_group_name_H-M 'C 1 2/m 1'
_symmetry_Int_Tables_number 12
_symmetry_space_group_name_Hall '-C 2y'
loop_
_atom_site_label
_atom_site_fract_x
_atom_site_fract_y
_atom_site_fract_z
Cs1 0.110 0.000 0.259
Cs2 0.231 0.000 0.859
Tm1 0.000 0.500 0.500
I1 0.000 0.000 0.500
I2 0.047 0.500 0.723
I3 0.127 0.000 0.009
I4 0.230 0.000 0.604
```

=====

## Cs3TmI8 (PBE)

Data for Cs3TmI8 after structural relaxation.

Summary:
calculated density	4.0	g/cm³
total magnetization	0.0	μB/f.u.
energy	-2.6743	eV/atom

Structure (CIF):
```
data_Cs3TmI8
_chemical_formula_sum 'Cs6 Tm2 I16'
_cell_length_a 8.649
_cell_length_b 8.649
_cell_length_c 17.463
_cell_angle_alpha 90.00
_cell_angle_beta 90.00
_cell_angle_gamma 90.00
_symmetry_space_group_name_H-M 'I 4/m m m'
_symmetry_Int_Tables_number 139
_symmetry_space_group_name_Hall '-I 4 2'
loop_
_atom_site_label
_atom_site_fract_x
_atom_site_fract_y
_atom_site_fract_z
Cs1 0.000 0.000 0.000
Cs2 0.000 0.500 0.250
Tm1 0.000 0.000 0.500
I1 0.214 0.214 0.393
```

=====

## Cs5Tm2I12 (PBE)

Data for Cs5Tm2I12 after structural relaxation.

Summary:
calculated density	3.7	g/cm³
total magnetization	1.0	μB/f.u.
energy	-3.0311	eV/atom

Structure (CIF):
```
data_Cs5Tm2I12
_chemical_formula_sum 'Cs10 Tm4 I24'
_cell_length_a 21.364
_cell_length_b 8.729
_cell_length_c 12.615
_cell_angle_alpha 90.00
_cell_angle_beta 107.07
_cell_angle_gamma 90.00
_symmetry_space_group_name_H-M 'C 1 2/m 1'
_symmetry_Int_Tables_number 12
_symmetry_space_group_name_Hall '-C 2y'
loop_
_atom_site_label
_atom_site_fract_x
_atom_site_fract_y
_atom_site_fract_z
Cs1 0.000 0.000 0.000
Cs2 0.194 0.500 0.347
Cs3 0.196 0.500 0.852
Tm1 0.000 0.249 0.500
I1 0.000 0.000 0.332
I2 0.000 0.500 0.330
I3 0.145 0.251 0.571
I4 0.150 0.264 0.079
```

=====

## CsTmVI6 (PBE)

Data for CsTmVI6 after structural relaxation.

Summary:
calculated density	4.2	g/cm³
total magnetization	3.0	μB/f.u.
energy	-3.7356	eV/atom

Structure (CIF):
```
data_CsTmVI6
_chemical_formula_sum 'Cs1 Tm1 V1 I6'
_cell_length_a 7.5699
_cell_length_b 7.5699
_cell_length_c 8.8545
_cell_angle_alpha 90.00
_cell_angle_beta 90.00
_cell_angle_gamma 120.00
_symmetry_space_group_name_H-M 'P 3 1 2'
_symmetry_Int_Tables_number 149
_symmetry_space_group_name_Hall 'P 3 2'
loop_
_atom_site_label
_atom_site_fract_x
_atom_site_fract_y
_atom_site_fract_z
Cs1 0.0000 0.0000 0.0000
Tm1 0.6667 0.3333 0.5000
V1 0.3333 0.6667 0.5000
I1 0.0142 0.3734 0.6896
```

=====

## CsTmZnI6 (PBE)

Data for CsTmZnI6 after structural relaxation.

Summary:
calculated density	4.2	g/cm³
total magnetization	0.0	μB/f.u.
energy	-2.8676	eV/atom

Structure (CIF):
```
data_CsTmZnI6
_chemical_formula_sum 'Cs1 Tm1 Zn1 I6'
_cell_length_a 7.6279
_cell_length_b 7.6279
_cell_length_c 8.8082
_cell_angle_alpha 90.00
_cell_angle_beta 90.00
_cell_angle_gamma 120.00
_symmetry_space_group_name_H-M 'P 3 1 2'
_symmetry_Int_Tables_number 149
_symmetry_space_group_name_Hall 'P 3 2'
loop_
_atom_site_label
_atom_site_fract_x
_atom_site_fract_y
_atom_site_fract_z
Cs1 0.0000 0.0000 0.0000
Tm1 0.3333 0.6667 0.5000
Zn1 0.6667 0.3333 0.5000
I1 0.3751 0.0112 0.6924
```

=====

## Cs2UI7 (PBE)

Data for Cs2UI7 after structural relaxation.

Summary:
calculated density	4.4	g/cm³
total magnetization	1.0	μB/f.u.
energy	-3.4035	eV/atom

Structure (CIF):
```
data_Cs2UI7
_chemical_formula_sum 'Cs8 U4 I28'
_cell_length_a 20.542
_cell_length_b 9.479
_cell_length_c 14.255
_cell_angle_alpha 90.00
_cell_angle_beta 130.14
_cell_angle_gamma 90.00
_symmetry_space_group_name_H-M 'C 1 2/c 1'
_symmetry_Int_Tables_number 15
_symmetry_space_group_name_Hall '-C 2yc'
loop_
_atom_site_label
_atom_site_fract_x
_atom_site_fract_y
_atom_site_fract_z
Cs1 0.130 0.153 0.044
U1 0.000 0.287 0.250
I1 0.000 0.391 0.750
I2 0.088 0.289 0.514
I3 0.092 0.009 0.256
I4 0.168 0.376 0.314
```

=====

## Cs2UI8 (PBE)

Data for Cs2UI8 after structural relaxation.

Summary:
calculated density	4.6	g/cm³
total magnetization	0.5	μB/f.u.
energy	-3.1335	eV/atom

Structure (CIF):
```
data_Cs2UI8
_chemical_formula_sum 'Cs4 U2 I16'
_cell_length_a 25.160
_cell_length_b 5.561
_cell_length_c 7.851
_cell_angle_alpha 90.00
_cell_angle_beta 95.91
_cell_angle_gamma 90.00
_symmetry_space_group_name_H-M 'C 1 2/m 1'
_symmetry_Int_Tables_number 12
_symmetry_space_group_name_Hall '-C 2y'
loop_
_atom_site_label
_atom_site_fract_x
_atom_site_fract_y
_atom_site_fract_z
Cs1 0.189 0.000 0.225
U1 0.000 0.500 0.000
I1 0.018 0.000 0.793
I2 0.071 0.500 0.333
I3 0.108 0.500 0.868
I4 0.207 0.000 0.729
```

=====

## CsUI4 (PBE)

Data for CsUI4 after structural relaxation.

Summary:
calculated density	3.9	g/cm³
total magnetization	3.0	μB/f.u.
energy	-4.1039	eV/atom

Structure (CIF):
```
data_CsUI4
_chemical_formula_sum 'Cs4 U4 I16'
_cell_length_a 11.913
_cell_length_b 14.977
_cell_length_c 9.342
_cell_angle_alpha 90.00
_cell_angle_beta 115.83
_cell_angle_gamma 90.00
_symmetry_space_group_name_H-M 'C 1 2/c 1'
_symmetry_Int_Tables_number 15
_symmetry_space_group_name_Hall '-C 2yc'
loop_
_atom_site_label
_atom_site_fract_x
_atom_site_fract_y
_atom_site_fract_z
Cs1 0.000 0.130 0.250
U1 0.000 0.489 0.750
I1 0.007 0.356 0.486
I2 0.214 0.024 0.086
```

=====

## CsUI4 (PBE)

Data for CsUI4 after structural relaxation.

Summary:
calculated density	3.9	g/cm³
total magnetization	3.0	μB/f.u.
energy	-3.9955	eV/atom

Structure (CIF):
```
data_CsUI4
_chemical_formula_sum 'Cs2 U2 I8'
_cell_length_a 9.766
_cell_length_b 9.766
_cell_length_c 7.784
_cell_angle_alpha 90.00
_cell_angle_beta 90.00
_cell_angle_gamma 90.00
_symmetry_space_group_name_H-M 'I -4'
_symmetry_Int_Tables_number 82
_symmetry_space_group_name_Hall 'I -4'
loop_
_atom_site_label
_atom_site_fract_x
_atom_site_fract_y
_atom_site_fract_z
Cs1 0.000 0.000 0.000
U1 0.000 0.500 0.250
I1 0.151 0.707 0.458
```